[1]
Compound: Ho2AlGe3
Source: Alexandria
Functional: GGA-PBE
Structure: relaxed

abc: 6.8370 4.1664 17.6253
angles: 90.00 90.00 90.00
With the nearest neighbours (Å) after each atom.
Space group Pnma (No. 62)
One atom of each set of equivalent atoms:
Ho (0.1602, 0.2500, 0.2045) x4  7 Ge 2.95-3.09
Ho (0.1669, 0.2500, 0.4147) x4  7 Ge 2.95-3.04, 1 Al 3.29
Al (0.0472, 0.7500, 0.0652) x4  4 Ge 2.56-2.70
Ge (0.0465, 0.2500, 0.6704) x4  2 Ge 2.58-2.72
Ge (0.1510, 0.2500, 0.8113) x4  1 Al 2.56, 2 Ge 2.58-2.72
Ge (0.2487, 0.7500, 0.5349) x4  3 Al 2.56-2.70

## Properties
V   126 Å³/f.u.
E_tot   -122.3 eV per cell
ΔE_f   -0.638 eV per atom
Size of the total moment   0.000 μB/atom

---

[2]
Compound: NbSi2Rh2
Source: Alexandria
Functional: GGA-PBE
Structure: relaxed

abc: 7.1603 7.1603 2.7642
angles: 90.00 90.00 90.00
With the nearest neighbours (Å) after each atom.
Space group P4/mbm (No. 127)
One atom of each set of equivalent atoms:
Nb (0.0000, 0.0000, 0.0000) x2  4 Si 2.73, 2 Nb 2.76
Si (0.1491, 0.3509, 0.0000) x4  6 Rh 2.48-2.54, 2 Nb 2.73, 2 Si 2.76
Rh (0.1480, 0.6480, 0.5000) x4  6 Si 2.48-2.54, 2 Rh 2.76

## Properties
Uncorrected formation energy   -0.666 eV per atom
V   71 Å³/f.u.
E_tot   -77.9 eV per cell
Size of the total moment   0.000 μB/atom

---

[3]
Compound: Dy2YSc6
Source: Alexandria
Functional: GGA-PBE
Structure: relaxed

abc: 15.9212 9.1885 3.2904
angles: 90.00 90.12 90.00
With the nearest neighbours (Å) after each atom.
Space group C2/m (No. 12)
One atom of each set of equivalent atoms:
Dy (0.1667, 0.0000, 0.0000) x4  2 Dy 3.29, 12 Sc 3.47-3.48
Y (0.0000, 0.5000, 0.0000) x2  2 Y 3.29, 12 Sc 3.48
Sc (0.0000, 0.1663, 0.5000) x4  5 Sc 3.06-3.29
Sc (0.1668, 0.3332, 0.4995) x8  5 Sc 3.06-3.29

## Properties
V   241 Å³/f.u.
E_tot   -106.1 eV per cell
ΔE_f   0.066 eV per atom
Size of the total moment   0.000 μB/atom

---

[4]
Compound: Sc2TcMoAs
Source: Alexandria
Functional: GGA-PBE
Structure: relaxed

abc: 4.8889 4.8889 4.6103
angles: 90.00 90.00 90.00
With the nearest neighbours (Å) after each atom.
Space group P4/mmm (No. 123)
One atom of each set of equivalent atoms:
Sc (0.0000, 0.5000, 0.0000) x2  2 As 2.44
Tc (0.0000, 0.0000, 0.5000) x1  8 Sc 3.36, 4 Mo 3.46
Mo (0.5000, 0.5000, 0.5000) x1  2 As 2.31
As (0.5000, 0.5000, 0.0000) x1  2 Mo 2.31, 4 Sc 2.44

## Properties
V   110 Å³/f.u.
E_tot   -35.3 eV per cell
ΔE_f   0.641 eV per atom
Size of the total moment   0.403 μB/atom

---

[5]
Compound: YZrInPd
Source: Alexandria
Functional: GGA-PBE
Structure: relaxed

abc: 7.1152 7.1152 7.1152
angles: 90.00 90.00 90.00
With the nearest neighbours (Å) after each atom.
Space group F-43m (No. 216)
One atom of each set of equivalent atoms:
Y (0.0000, 0.0000, 0.0000) x4  4 Pd 3.08, 4 In 3.08
Zr (0.0000, 0.0000, 0.5000) x4  4 In 3.08, 4 Pd 3.08
In (0.2500, 0.2500, 0.7500) x4  4 Y 3.08, 4 Zr 3.08
Pd (0.2500, 0.2500, 0.2500) x4  4 Zr 3.08, 4 Y 3.08

## Properties
V   90 Å³/f.u.
E_tot   -98.5 eV per cell
ΔE_f   -0.420 eV per atom
Size of the total moment   0.173 μB/atom

---

[6]
Compound: Li2InW
Source: Alexandria
Functional: GGA-PBE
Structure: relaxed

abc: 3.2175 4.4721 9.7050
angles: 90.00 90.00 90.00
With the nearest neighbours (Å) after each atom.
Space group Cmmm (No. 65)
One atom of each set of equivalent atoms:
Li (0.0000, 0.0000, 0.2407) x4  4 Li 2.75, 2 W 2.84, 2 In 2.99
In (0.0000, 0.5000, 0.5000) x2  4 In 2.75, 4 Li 2.99
W (0.0000, 0.5000, 0.0000) x2  4 W 2.75, 4 Li 2.84

## Properties
V   70 Å³/f.u.
E_tot   -36.7 eV per cell
ΔE_f   0.299 eV per atom
Size of the total moment   0.000 μB/atom